No. 1
Entry from the Alexandria database: CrCo2Hg after structural relaxation (PBE).

```
data_CrCo2Hg
_symmetry_space_group_name_H-M 'C 1 2/m 1'
_symmetry_Int_Tables_number 12
_cell_length_a 8.277
_cell_length_b 2.720
_cell_length_c 4.947
_cell_angle_alpha 90.00
_cell_angle_beta 99.82
_cell_angle_gamma 90.00
loop_
_symmetry_equiv_pos_as_xyz
'x,y,z'
'-x,-y,-z'
'-x,y,-z'
'x,-y,z'
'x+1/2,y+1/2,z'
'-x+1/2,-y+1/2,-z'
'-x+1/2,y+1/2,-z'
'x+1/2,-y+1/2,z'
loop_
_atom_site_label
_atom_site_type_symbol
_atom_site_fract_x
_atom_site_fract_y
_atom_site_fract_z
Cr1 Cr 0.000 0.000 0.000
Co1 Co 0.239 0.500 0.194
Hg1 Hg 0.000 0.500 0.500
```

For the volume, the calculation gives 109.8 Å³ per cell. As for the crystal system: monoclinic. The calculated formation energy is 0.47 eV per atom.



No. 2
Entry from the Alexandria database: CrCo2Hg after structural relaxation (PBE).

```
data_CrCo2Hg
_symmetry_space_group_name_H-M 'P 4 m m'
_symmetry_Int_Tables_number 99
_cell_length_a 3.010
_cell_length_b 3.010
_cell_length_c 6.267
_cell_angle_alpha 90.00
_cell_angle_beta 90.00
_cell_angle_gamma 90.00
loop_
_symmetry_equiv_pos_as_xyz
'x,y,z'
'-y,x,z'
'-x,-y,z'
'y,-x,z'
'-x,y,z'
'y,x,z'
'x,-y,z'
'-y,-x,z'
loop_
_atom_site_label
_atom_site_type_symbol
_atom_site_fract_x
_atom_site_fract_y
_atom_site_fract_z
Cr1 Cr 0.000 0.000 0.000
Co1 Co 0.000 0.000 0.597
Co2 Co 0.500 0.500 0.785
Hg1 Hg 0.500 0.500 0.308
```

For the volume, the calculation gives 56.8 Å³ per cell. As for the crystal system: tetragonal. The calculated formation energy is 0.40 eV per atom.



No. 3
Entry from the Alexandria database: CrCo2Hg after structural relaxation (PBE).

```
data_CrCo2Hg
_symmetry_space_group_name_H-M 'I 4/m m m'
_symmetry_Int_Tables_number 139
_symmetry_space_group_name_Hall '-I 4 2'
_cell_length_a 3.841
_cell_length_b 3.841
_cell_length_c 7.428
_cell_angle_alpha 90.00
_cell_angle_beta 90.00
_cell_angle_gamma 90.00
loop_
_atom_site_label
_atom_site_type_symbol
_atom_site_fract_x
_atom_site_fract_y
_atom_site_fract_z
Cr1 Cr 0.000 0.000 0.000
Co1 Co 0.000 0.500 0.250
Hg1 Hg 0.000 0.000 0.500
```

For the volume, the calculation gives 109.6 Å³ per cell. As for the crystal system: tetragonal. The calculated formation energy is 0.46 eV per atom.



No. 4
Entry from the Alexandria database: Cr2Co2Hg after structural relaxation (PBE).

```
data_Cr2Co2Hg
_symmetry_space_group_name_H-M 'P 4/m b m'
_symmetry_Int_Tables_number 127
_symmetry_space_group_name_Hall '-P 4 2ab'
_cell_length_a 7.095
_cell_length_b 7.095
_cell_length_c 2.611
_cell_angle_alpha 90.00
_cell_angle_beta 90.00
_cell_angle_gamma 90.00
loop_
_atom_site_label
_atom_site_type_symbol
_atom_site_fract_x
_atom_site_fract_y
_atom_site_fract_z
Cr1 Cr 0.112 0.388 0.000
Co1 Co 0.170 0.670 0.500
Hg1 Hg 0.000 0.000 0.000
```

For the volume, the calculation gives 131.4 Å³ per cell. As for the crystal system: tetragonal. The calculated formation energy is 0.40 eV per atom.